[1]
This record from Alexandria describes a relaxed structure of Sc3FeRh. The functional is GGA-PBEsol.

CIF file:
```
data_Sc3FeRh
_chemical_formula_sum 'Sc3 Fe1 Rh1'
_space_group_name_H-M_alt 'P m -3 m'
_space_group_IT_number 221
_space_group_name_Hall '-P 4 2 3'
_cell_length_a 4.592
_cell_length_b 4.592
_cell_length_c 4.592
_cell_angle_alpha 90.00
_cell_angle_beta 90.00
_cell_angle_gamma 90.00
loop_
_atom_site_label
_atom_site_type_symbol
_atom_site_fract_x
_atom_site_fract_y
_atom_site_fract_z
Sc1 Sc 0.000 0.000 0.500
Fe1 Fe 0.000 0.000 0.000
Rh1 Rh 0.500 0.500 0.500
```

Properties
The energy of formation from the pure elements comes out at 0.10 eV/atom.

=====

[2]
This record from Alexandria describes a relaxed structure of FeRh2Se4. The functional is GGA-PBEsol.

CIF file:
```
data_FeRh2Se4
_chemical_formula_sum 'Fe2 Rh4 Se8'
_space_group_name_H-M_alt 'C 1 2/m 1'
_space_group_IT_number 12
_space_group_name_Hall '-C 2y'
_cell_length_a 11.852
_cell_length_b 3.628
_cell_length_c 6.286
_cell_angle_alpha 90.00
_cell_angle_beta 119.41
_cell_angle_gamma 90.00
loop_
_atom_site_label
_atom_site_type_symbol
_atom_site_fract_x
_atom_site_fract_y
_atom_site_fract_z
Fe1 Fe 0.000 0.000 0.000
Rh1 Rh 0.233 0.500 0.712
Se1 Se 0.110 0.000 0.440
Se2 Se 0.128 0.500 0.974
```

Properties
For the formation energy from raw total energies, the calculation gives -0.353 eV/atom.

=====

Number 1: total energy -7.2811 eV per atom, calculated density 5.0 g/cm3. Number 2: total energy -6.1593 eV per atom, calculated density 8.1 g/cm3.